PBE-GGA In2Fe2H, relaxed; crystal system = tetragonal; magnetic moment = 9.052 Bohr magnetons per cell; volume = 73.08 Å³/f.u.; symmetry = P4/mbm (127); electronic total energy = -4.740 eV/atom; ρ = 7.78 g cm⁻³
1.0
5.706 0.000 0.000
0.000 5.706 0.000
0.000 0.000 4.489
In Fe H
4 4 2
direct
0.173 0.327 0.000 In
0.327 0.827 0.000 In
0.673 0.173 0.000 In
0.827 0.673 0.000 In
0.151 0.651 0.500 Fe
0.349 0.151 0.500 Fe
0.651 0.849 0.500 Fe
0.849 0.349 0.500 Fe
0.000 0.000 0.500 H
0.500 0.500 0.500 H